The following is a PBE-GGA calculation of an optimized crystal structure of GaSn3Te, from Alexandria via LeMat-Bulk.

The structure in CIF format:
```
data_GaSn3Te
_cell_length_a 5.3804
_cell_length_b 5.3804
_cell_length_c 5.3804
_cell_angle_alpha 90.00
_cell_angle_beta 90.00
_cell_angle_gamma 90.00
_symmetry_space_group_name_H-M 'P m -3 m'
_symmetry_Int_Tables_number 221
_symmetry_space_group_name_Hall '-P 4 2 3'
loop_
_atom_site_label
_atom_site_type_symbol
_atom_site_fract_x
_atom_site_fract_y
_atom_site_fract_z
Ga1 Ga 0.0000 0.0000 0.0000
Sn1 Sn 0.0000 0.0000 0.5000
Te1 Te 0.5000 0.5000 0.5000
```

energy above the most stable polymorph in this dataset: 0 meV per atom
energy relative to the elements, uncorrected: 0.300 eV per atom